# 1
Entry from Alexandria: a relaxed structure of K3HgPd2F9 (PBE-GGA).

Calculated values
Total magnetic moment   0.00 μB/cell
Uncorrected formation energy   -28.2 eV per formula unit

Structure (POSCAR):
```
K3HgPd2F9
1.0
-2.3934 2.9080 4.9195
0.7605 -6.1479 0.1027
7.0836 0.9247 2.8996
K F Pd Hg
3 9 2 1
Direct
0.6667 0.3333 0.3208
0.0000 0.0000 0.0000
0.3333 0.6667 0.6792
0.8299 0.1701 0.6855
0.5000 0.5000 0.0000
0.0000 0.5000 0.0000
0.3402 0.1701 0.6855
0.5000 0.0000 0.0000
0.6598 0.8299 0.3145
0.1701 0.3402 0.3145
0.8299 0.6598 0.6855
0.1701 0.8299 0.3145
0.3333 0.6667 0.1541
0.6667 0.3333 0.8459
0.0000 0.0000 0.5000
```

=====

# 2
Entry from Alexandria: a relaxed structure of Be2AgRu (PBE-GGA).

Calculated values
Total magnetic moment   0.00 μB/cell
ΔH_f (0 K)   398 meV/atom

Structure (POSCAR):
```
Be2AgRu
1.0
4.1581 0.0000 0.0000
2.0790 3.6010 0.0000
2.0790 1.2003 3.3950
Ag Ru Be
1 1 2
Direct
0.5000 0.5000 0.5000
0.2500 0.2500 0.2500
0.7500 0.7500 0.7500
0.0000 0.0000 0.0000
```

=====

# 3
Entry from Alexandria: a relaxed structure of ZnCdO2 (PBE-GGA).

Calculated values
Total magnetic moment   0.00 μB/cell
Uncorrected formation energy   -4.7 eV per formula unit

Structure (POSCAR):
```
ZnCdO2
1.0
1.9790 0.0000 5.7476
-0.9895 1.7139 5.7476
-0.9895 -1.7139 5.7476
O Cd Zn
2 1 1
Direct
0.6323 0.6323 0.6323
0.1149 0.1149 0.1149
0.5031 0.5031 0.5031
0.0007 0.0007 0.0007
```

=====

# 4
Entry from Alexandria: a relaxed structure of Cd3InO (PBE-GGA).

Calculated values
Polymorph energy (0 for the lowest one)   0 meV/atom
Total magnetic moment   0.00 μB/cell
Uncorrected formation energy   -0.6 eV per formula unit

Structure (POSCAR):
```
Cd3InO
1.0
-0.4690 1.9614 4.2772
-0.4098 -4.2991 1.9265
4.6876 -0.1796 0.5963
Cd In O
3 1 1
Direct
0.5000 0.0000 0.0000
0.0000 0.5000 0.0000
0.0000 0.0000 0.5000
0.5000 0.5000 0.5000
0.0000 0.0000 0.0000
```

=====

# 5
Entry from Alexandria: a relaxed structure of Re4PAu (PBE-GGA).

Calculated values
Total magnetic moment   0.00 μB/cell
ΔH_f (0 K)   917 meV/atom

Structure (POSCAR):
```
Re4PAu
1.0
0.0000 3.6930 3.6930
3.6930 0.0000 3.6930
3.6930 3.6930 0.0000
P Au Re
1 1 4
Direct
0.0000 0.0000 0.0000
0.2500 0.2500 0.2500
0.1262 0.6246 0.6246
0.6246 0.1262 0.6246
0.6246 0.6246 0.1262
0.6246 0.6246 0.6246
```

=====

# 6
Entry from Alexandria: a relaxed structure of CsBCl4 (PBE-GGA).

Calculated values
Polymorph energy (0 for the lowest one)   339 meV/atom
Total magnetic moment   0.00 μB/cell
Uncorrected formation energy   -6.1 eV per formula unit

Structure (POSCAR):
```
CsBCl4
1.0
3.5667 0.0000 0.0000
0.0000 9.0950 0.0000
-1.7833 0.0000 12.8362
Cs Cl B
2 8 2
Direct
0.4428 0.7500 0.8856
0.5572 0.2500 0.1144
0.0000 0.5000 0.0000
0.0000 0.0000 0.0000
0.1862 0.9190 0.3725
0.6050 0.7500 0.2100
0.1862 0.5810 0.3725
0.8138 0.4190 0.6275
0.8138 0.0810 0.6275
0.3950 0.2500 0.7900
0.1528 0.7500 0.3056
0.8472 0.2500 0.6944
```

=====

# 7
Entry from Alexandria: a relaxed structure of Pm3RuPt (PBE-GGA).

Calculated values
Polymorph energy (0 for the lowest one)   0 meV/atom
Total magnetic moment   0.00 μB/cell
ΔH_f (0 K)   -588 meV/atom

Structure (POSCAR):
```
Pm3RuPt
1.0
8.1639 0.0001 2.0625
0.0001 7.4140 -0.0001
0.4834 0.0001 8.7836
Pm Ru Pt
12 4 4
Direct
0.9999 0.8106 0.8537
0.8966 0.3439 0.7807
0.2858 0.5074 0.5441
0.5000 0.6894 0.8537
0.3966 0.1561 0.7807
0.6034 0.8439 0.2193
0.5000 0.3106 0.1463
0.0001 0.1894 0.1463
0.7858 0.9926 0.5441
0.7142 0.4926 0.4559
0.1034 0.6561 0.2193
0.2142 0.0074 0.4559
0.4744 0.8164 0.5624
0.0256 0.3164 0.4376
0.9744 0.6836 0.5624
0.5256 0.1836 0.4376
0.8145 0.5338 0.0940
0.3145 0.9662 0.0940
0.6855 0.0338 0.9060
0.1855 0.4662 0.9060
```

=====

# 8
Entry from Alexandria: a relaxed structure of Ce3Tm2Pb4 (PBE-GGA).

Calculated values
Polymorph energy (0 for the lowest one)   0 meV/atom
Total magnetic moment   2.73 μB/cell
ΔH_f (0 K)   -359 meV/atom

Structure (POSCAR):
```
Ce3Tm2Pb4
1.0
4.7407 0.0000 0.0000
-2.3704 4.9823 0.7343
0.0000 0.7698 11.1292
Ce Pb Tm
3 4 2
Direct
0.3655 0.7311 0.5516
0.6345 0.2689 0.4484
0.0000 0.0000 0.0000
0.6588 0.3177 0.1111
0.0254 0.0509 0.6692
0.9746 0.9491 0.3308
0.3412 0.6823 0.8889
0.6821 0.3642 0.7783
0.3179 0.6358 0.2217
```

=====

# 9
Entry from Alexandria: a relaxed structure of Li2ThPb2 (PBE-GGA).

Calculated values
Polymorph energy (0 for the lowest one)   6 meV/atom
Total magnetic moment   0.00 μB/cell
ΔH_f (0 K)   -258 meV/atom

Structure (POSCAR):
```
Li2ThPb2
1.0
-3.4084 0.3255 -2.7866
2.6986 -0.8191 -3.3964
-0.7327 -5.9092 3.7028
Pb Li Th
2 2 1
Direct
0.3810 0.3814 0.7620
0.6190 0.6186 0.2380
0.7500 0.2495 0.5000
0.2500 0.7505 0.5000
0.0000 0.0000 0.0000
```

=====

# 10
Entry from Alexandria: a relaxed structure of GaAgPtPb2 (PBE-GGA).

Calculated values
Polymorph energy (0 for the lowest one)   35 meV/atom
Total magnetic moment   0.00 μB/cell
ΔH_f (0 K)   -127 meV/atom

Structure (POSCAR):
```
GaAgPtPb2
1.0
-1.3640 -2.8032 -1.4294
3.4172 -1.3790 -0.5566
-0.2931 -4.0271 8.1775
Pt Ga Pb Ag
1 1 2 1
Direct
0.0000 0.0000 0.5430
0.5000 0.5000 0.5793
0.0000 0.5000 0.9996
0.5000 0.0000 0.2757
0.5000 0.0000 0.8048
```

=====

# 11
Entry from Alexandria: a relaxed structure of ZrNiSe3 (PBE-GGA).

Calculated values
Polymorph energy (0 for the lowest one)   0 meV/atom
Total magnetic moment   0.00 μB/cell
Uncorrected formation energy   -4.0 eV per formula unit

Structure (POSCAR):
```
ZrNiSe3
1.0
-1.3358 1.1046 3.2448
-2.7911 -5.4754 0.7149
10.4238 -1.2040 4.7012
Se Ni Zr
6 2 2
Direct
0.2500 0.4413 0.8655
0.2500 0.7259 0.4534
0.7500 0.2725 0.5466
0.7500 0.8649 0.7485
0.2500 0.1164 0.2515
0.7500 0.5758 0.1345
0.2500 0.7393 0.2500
0.7500 0.4894 0.7500
0.7500 0.4317 0.3307
0.2500 0.1010 0.6693
```

=====

# 12
Entry from Alexandria: a relaxed structure of CsRbMn2B (PBE-GGA).

Calculated values
Total magnetic moment   7.05 μB/cell
ΔH_f (0 K)   2531 meV/atom

Structure (POSCAR):
```
CsRbMn2B
1.0
6.2432 0.0000 0.0000
0.0000 7.2971 0.0000
0.0000 0.0000 6.2432
Mn B Cs Rb
2 1 1 1
Direct
0.0000 0.0000 0.5000
0.5000 0.0000 0.0000
0.5000 0.5000 0.5000
0.0000 0.0000 0.0000
0.0000 0.5000 0.0000
```